(1)
## HgSbAs2 (GGA-PBE)

Data for a geometry-optimized HgSbAs2 structure.

SG	No. 35

a b c (Å): 3.196 3.196 10.261
angles (deg): 90.00 90.00 113.02
Atoms (fractional coordinates):
1 Hg 0.000 0.000 0.488
2 As 0.500 0.500 0.212
3 As 0.000 0.000 0.030
4 Sb 0.500 0.500 0.770

(2)
## HgSbAs2 (GGA-PBE)

Data for a geometry-optimized HgSbAs2 structure.

SG	No. 65

a b c (Å): 3.118 3.118 10.080
angles (deg): 90.00 90.00 108.29
Atoms (fractional coordinates):
1 Hg 0.500 0.500 0.250
2 Sb 0.500 0.500 0.750
3 As 0.000 0.000 0.985
4 As 0.000 0.000 0.515

(3)
## HgSbAs2 (GGA-PBE)

Data for a geometry-optimized HgSbAs2 structure.

SG	No. 99

a b c (Å): 3.699 3.699 7.761
angles (deg): 90.00 90.00 90.00
Atoms (fractional coordinates):
1 Sb 0.500 0.500 0.811
2 As 0.500 0.500 0.156
3 As 0.000 0.000 0.035
4 Hg 0.000 0.000 0.498

(4)
## HgSbAs3 (GGA-PBE)

Data for a geometry-optimized HgSbAs3 structure.

SG	No. 221

a b c (Å): 5.338 5.338 5.338
angles (deg): 90.00 90.00 90.00
Atoms (fractional coordinates):
1 As 0.500 0.000 0.000
2 As 0.000 0.000 0.500
3 As 0.000 0.500 0.000
4 Hg 0.500 0.500 0.500
5 Sb 0.000 0.000 0.000

(5)
## HgSbAs2 (GGA-PBE)

Data for a geometry-optimized HgSbAs2 structure.

SG	No. 216

a b c (Å): 5.037 5.037 5.037
angles (deg): 60.00 60.00 60.00
Atoms (fractional coordinates):
1 As 0.750 0.750 0.750
2 As 0.000 0.000 0.000
3 Sb 0.250 0.250 0.250
4 Hg 0.500 0.500 0.500

(6)
## HgSbAs2 (GGA-PBE)

Data for a geometry-optimized HgSbAs2 structure.

SG	No. 123

a b c (Å): 5.301 5.301 3.211
angles (deg): 90.00 90.00 90.00
Atoms (fractional coordinates):
1 As 0.500 0.500 0.000
2 As 0.000 0.000 0.000
3 Sb 0.000 0.500 0.500
4 Hg 0.500 0.000 0.500

(7)
## HgSbAs (GGA-PBE)

Data for a geometry-optimized HgSbAs structure.

SG	No. 160

a b c (Å): 3.870 3.870 7.969
angles (deg): 75.94 75.94 60.00
Atoms (fractional coordinates):
1 Hg 0.582 0.582 0.253
2 Sb 0.112 0.112 0.664
3 As 0.379 0.379 0.863

(8)
## HgSb2As2 (GGA-PBE)

Data for a geometry-optimized HgSb2As2 structure.

SG	No. 12

a b c (Å): 5.015 5.015 7.620
angles (deg): 62.47 62.47 87.51
Atoms (fractional coordinates):
1 As 0.250 0.750 0.500
2 As 0.750 0.250 0.500
3 Hg 0.000 0.000 0.000
4 Sb 0.396 0.396 0.276
5 Sb 0.604 0.604 0.724

(9)
## HgSbAs (GGA-PBE)

Data for a geometry-optimized HgSbAs structure.

SG	No. 42

a b c (Å): 7.699 7.442 3.414
angles (deg): 81.22 72.79 25.99
Atoms (fractional coordinates):
1 Hg 0.340 0.340 0.660
2 Sb 0.647 0.647 0.353
3 As 0.013 0.013 0.987

(10)
## HgSbAs (GGA-PBE)

Data for a geometry-optimized HgSbAs structure.

SG	No. 216

a b c (Å): 4.927 4.927 4.927
angles (deg): 60.00 60.00 60.00
Atoms (fractional coordinates):
1 As 0.750 0.750 0.750
2 Sb 0.500 0.500 0.500
3 Hg 0.000 0.000 0.000

(11)
## HgSbAs2Se (GGA-PBE)

Data for a geometry-optimized HgSbAs2Se structure.

SG	No. 123

a b c (Å): 5.379 5.379 5.336
angles (deg): 90.00 90.00 90.00
Each line ends with the local moment (μB).
Atoms (fractional coordinates):
1 As 0.500 0.000 0.000  0.28
2 As 0.000 0.500 0.000  0.28
3 Se 0.000 0.000 0.500  0.08
4 Sb 0.000 0.000 0.000  -0.01
5 Hg 0.500 0.500 0.500  0.02

(12)
## HgSb2TeAs (GGA-PBE)

Data for a geometry-optimized HgSb2TeAs structure.

SG	No. 123

a b c (Å): 5.414 5.414 5.573
angles (deg): 90.00 90.00 90.00
Atoms (fractional coordinates):
1 Sb 0.000 0.500 0.000
2 Sb 0.500 0.000 0.000
3 As 0.000 0.000 0.000
4 Hg 0.500 0.500 0.500
5 Te 0.000 0.000 0.500

no.,formation energy without anion corrections (eV/atom),relative energy among the computed polymorphs (eV/atom)
1,0.31,0.1897
2,0.37,0.2449
3,0.23,0.1058
4,0.90,0.0000
5,0.37,0.2534
6,0.38,0.2576
7,0.03,0.0000
8,0.16,0.0000
9,0.25,0.2183
10,0.25,0.2235
11,0.73,0.0000
12,0.56,0.0000